Density functional theory data (PBEsol) for ReH30Ru2N10Cl10 after structural relaxation.

Cell: 6.8646 6.8646 13.2060 Å, 81.98 81.98 71.19°
Last column: nearest neighbours and their distance in Å.
Atoms (fractional coordinates):
Re  0.0000  0.0000  0.5000  6 Cl 2.34-2.36
H  0.6888  0.2592  0.8812  1 N 1.03
H  0.2592  0.6888  0.8812  1 N 1.03
H  0.3112  0.7408  0.1188  1 N 1.03
H  0.7408  0.3112  0.1188  1 N 1.03
H  0.5144  0.2154  0.9735  1 N 1.04
H  0.2154  0.5144  0.9735  1 N 1.04
H  0.4856  0.7846  0.0265  1 N 1.04
H  0.7846  0.4856  0.0265  1 N 1.04
H  0.6347  0.0380  0.8931  1 N 1.04
H  0.0380  0.6347  0.8931  1 N 1.04
H  0.3653  0.9620  0.1069  1 N 1.04
H  0.9620  0.3653  0.1069  1 N 1.04
H  0.5291  0.1154  0.6416  1 N 1.03
H  0.1154  0.5291  0.6416  1 N 1.03
H  0.4709  0.8846  0.3584  1 N 1.03
H  0.8846  0.4709  0.3584  1 N 1.03
H  0.5455  0.9525  0.7483  1 N 1.04
H  0.9525  0.5455  0.7483  1 N 1.04
H  0.4545  0.0475  0.2517  1 N 1.04
H  0.0475  0.4545  0.2517  1 N 1.04
H  0.3288  0.0373  0.6903  1 N 1.03
H  0.0373  0.3288  0.6903  1 N 1.03
H  0.6712  0.9627  0.3097  1 N 1.03
H  0.9627  0.6712  0.3097  1 N 1.03
H  0.5630  0.5630  0.7601  1 N 1.04
H  0.4370  0.4370  0.2399  1 N 1.04
H  0.6134  0.4090  0.6651  1 N 1.03
H  0.4090  0.6134  0.6651  1 N 1.03
H  0.3866  0.5910  0.3349  1 N 1.03
H  0.5910  0.3866  0.3349  1 N 1.03
Ru  0.3240  0.3240  0.8039  5 N 2.08-2.11, 1 Cl 2.30
Ru  0.6760  0.6760  0.1961  5 N 2.08-2.11, 1 Cl 2.30
N  0.5692  0.1958  0.8971  3 H 1.03-1.04
N  0.1958  0.5692  0.8971  3 H 1.03-1.04
N  0.4308  0.8042  0.1029  3 H 1.03-1.04
N  0.8042  0.4308  0.1029  3 H 1.03-1.04
N  0.4479  0.0814  0.7101  3 H 1.03-1.04
N  0.0814  0.4479  0.7101  3 H 1.03-1.04
N  0.5521  0.9186  0.2899  3 H 1.03-1.04
N  0.9186  0.5521  0.2899  3 H 1.03-1.04
N  0.4961  0.4961  0.7137  3 H 1.03-1.04
N  0.5039  0.5039  0.2863  3 H 1.03-1.04
Cl  0.0036  0.0036  0.3205  1 Re 2.36, 2 H 2.41
Cl  0.9964  0.9964  0.6795  1 Re 2.36, 2 H 2.41
Cl  0.2937  0.7063  0.5000  1 Re 2.35, 4 H 2.36-2.48
Cl  0.7063  0.2937  0.5000  1 Re 2.35, 4 H 2.36-2.48
Cl  0.7873  0.7873  0.5274  1 Re 2.34
Cl  0.2127  0.2127  0.4726  1 Re 2.34
Cl  0.1347  0.1347  0.9051  1 Ru 2.30
Cl  0.8653  0.8653  0.0949  1 Ru 2.30
Cl  0.6823  0.6823  0.8731  7 H 2.16-2.40
Cl  0.3177  0.3177  0.1269  7 H 2.16-2.40

Results
Space group = C2/m (12)
Calculated density = 2.61 g/cm3
Calculated total energy = -267.3 eV/cell

---

Density functional theory data (PBEsol) for ScH6N2Cl3 after structural relaxation.

Cell: 6.7805 9.8908 10.7709 Å, 105.45 91.55 110.67°
Last column: nearest neighbours and their distance in Å.
Atoms (fractional coordinates):
Sc  0.3340  0.2258  0.3009  1 N 2.24, 3 Cl 2.41-2.46
Sc  0.6660  0.7742  0.6991  1 N 2.24, 3 Cl 2.41-2.46
Sc  0.1624  0.8059  0.1964  3 N 2.25-2.27, 2 Cl 2.36-2.49
Sc  0.8376  0.1941  0.8036  3 N 2.25-2.27, 2 Cl 2.36-2.49
H  0.3059  0.8019  0.9521  1 N 1.03
H  0.6941  0.1981  0.0479  1 N 1.03
H  0.2949  0.5608  0.1488  1 N 1.03
H  0.7051  0.4392  0.8512  1 N 1.03
H  0.2824  0.7935  0.4480  1 N 1.03
H  0.7176  0.2065  0.5520  1 N 1.03
H  0.6863  0.4772  0.2946  1 N 1.03
H  0.3137  0.5228  0.7054  1 N 1.03
H  0.2320  0.9485  0.4632  1 N 1.03
H  0.7680  0.0515  0.5368  1 N 1.03
H  0.2237  0.9443  0.9990  1 N 1.03
H  0.7763  0.0557  0.0010  1 N 1.03
H  0.6922  0.4729  0.4479  1 N 1.03
H  0.3078  0.5271  0.5521  1 N 1.03
H  0.4804  0.7045  0.2566  1 N 1.03
H  0.5196  0.2955  0.7434  1 N 1.03
H  0.0466  0.7708  0.9331  1 N 1.03
H  0.9534  0.2292  0.0669  1 N 1.03
H  0.4733  0.6936  0.1005  1 N 1.03
H  0.5267  0.3064  0.8995  1 N 1.03
H  0.7817  0.3644  0.3398  1 N 1.03
H  0.2183  0.6356  0.6602  1 N 1.03
H  0.0314  0.7860  0.4402  1 N 1.03
H  0.9686  0.2140  0.5598  1 N 1.03
Cl  0.9925  0.9964  0.2411  2 Sc 2.49-2.52
Cl  0.0075  0.0036  0.7589  2 Sc 2.49-2.52
Cl  0.1538  0.4011  0.3320  2 H 2.37-2.43, 1 Sc 2.41
Cl  0.8462  0.5989  0.6680  2 H 2.37-2.43, 1 Sc 2.41
Cl  0.5106  0.0332  0.2604  2 Sc 2.54
Cl  0.4894  0.9668  0.7396  2 Sc 2.54
Cl  0.8491  0.5858  0.1337  1 Sc 2.36, 1 H 2.37
Cl  0.1509  0.4142  0.8663  1 Sc 2.36, 1 H 2.37
Cl  0.3450  0.2255  0.5295  4 H 2.37-2.61, 1 Sc 2.46
Cl  0.6550  0.7745  0.4705  4 H 2.37-2.61, 1 Sc 2.46
Cl  0.3560  0.2202  0.0737  3 H 2.40-2.44, 1 Sc 2.44
Cl  0.6440  0.7798  0.9263  3 H 2.40-2.44, 1 Sc 2.44
N  0.6610  0.4057  0.3523  3 H 1.03
N  0.3390  0.5943  0.6477  3 H 1.03
N  0.1870  0.8323  0.9950  3 H 1.03
N  0.8130  0.1677  0.0050  3 H 1.03
N  0.1789  0.8344  0.4133  3 H 1.03
N  0.8211  0.1656  0.5867  3 H 1.03
N  0.3783  0.6756  0.1725  3 H 1.03
N  0.6217  0.3244  0.8275  3 H 1.03

Results
Space group = P-1 (2)
Calculated density = 1.91 g/cm3
Calculated total energy = -248.3 eV/cell